# 1
The following is a DFT calculation (GGA-PBE) of ErMgAlNi after structural relaxation.

Geometry as CIF:
```
data_ErMgAlNi
_chemical_formula_sum 'Er4 Mg4 Al4 Ni4'
_cell_length_a 6.5561
_cell_length_b 6.5561
_cell_length_c 6.5561
_cell_angle_alpha 90.00
_cell_angle_beta 90.00
_cell_angle_gamma 90.00
_space_group_name_H-M_alt 'F -4 3 m'
_space_group_IT_number 216
_space_group_name_Hall 'F -4 2 3'
loop_
_atom_site_label
_atom_site_fract_x
_atom_site_fract_y
_atom_site_fract_z
Er1 0.0000 0.0000 0.0000
Mg1 0.2500 0.2500 0.2500
Al1 0.0000 0.0000 0.5000
Ni1 0.2500 0.2500 0.7500
```

Results
Fermi-level density of states   1.390 states/eV/f.u.
Energy of formation   -279.1 meV per atom
Calculated density   6.535 g/cm³
VASP energy   -67.191 eV for the cell shown

---

# 2
The following is a DFT calculation (GGA-PBE) of NbCrAgIr2 after structural relaxation.

Geometry as CIF:
```
data_NbCrAgIr2
_chemical_formula_sum 'Nb1 Cr1 Ag1 Ir2'
_cell_length_a 4.7602
_cell_length_b 4.7602
_cell_length_c 4.7218
_cell_angle_alpha 90.00
_cell_angle_beta 90.00
_cell_angle_gamma 90.00
_space_group_name_H-M_alt 'P 4/m m m'
_space_group_IT_number 123
_space_group_name_Hall '-P 4 2'
loop_
_atom_site_label
_atom_site_fract_x
_atom_site_fract_y
_atom_site_fract_z
Nb1 0.0000 0.0000 0.0000
Cr1 0.5000 0.5000 0.0000
Ag1 0.0000 0.0000 0.5000
Ir1 0.0000 0.5000 0.5000
```

Results
Fermi-level density of states   10.543 states/eV/f.u.
Energy of formation   2483.5 meV per atom
Calculated density   9.889 g/cm³
VASP energy   -27.849 eV for the cell shown

---

What is the calculated density in the first record?
6.535 g/cm³